# 1
Density functional theory data (PBE) for a relaxed CrRuW2 crystal.

Computed properties:
crystal system	monoclinic
final energy	-10.96	eV per atom
polymorph energy (0 for the lowest one)	0.115	eV per atom
DFT formation energy	0.2368	eV per atom
volume	58.88	Å³/f.u.

abc: 4.817 4.817 4.694
angles: 100.38 100.38 33.41
Element x y z (fractional)
Cr 0.000 0.000 0.000
Ru 0.727 0.727 0.273
W 0.250 0.250 0.792
W 0.479 0.479 0.483

# 2
Density functional theory data (PBE) for a relaxed CrRuW2 crystal.

Computed properties:
crystal system	tetragonal
final energy	-10.30	eV per atom
polymorph energy (0 for the lowest one)	0.783	eV per atom
DFT formation energy	0.9038	eV per atom
volume	64.72	Å³/f.u.

abc: 9.803 9.803 9.803
angles: 158.23 158.23 30.97
Element x y z (fractional)
Cr 0.000 0.000 0.000
Cr 0.750 0.250 0.500
Ru 0.250 0.750 0.500
Ru 0.500 0.500 0.000
W 0.118 0.625 0.993
W 0.375 0.368 0.493
W 0.632 0.125 0.007
W 0.875 0.882 0.507

# 3
Density functional theory data (PBE) for a relaxed CrRuW2 crystal.

Computed properties:
crystal system	tetragonal
final energy	-11.00	eV per atom
polymorph energy (0 for the lowest one)	0.077	eV per atom
DFT formation energy	0.1986	eV per atom
volume	58.84	Å³/f.u.

abc: 2.717 2.717 7.972
angles: 90.00 90.00 90.00
Element x y z (fractional)
Cr 0.000 0.000 0.000
Ru 0.500 0.500 0.206
W 0.000 0.000 0.463
W 0.500 0.500 0.747